Entry 1:
Density functional theory data (PBE) for a geometry-optimized Sr3IrPt structure.

Values from the calculation:
Its total moment is 0.000 μB per atom. As for the energy above the most stable polymorph in this dataset: 0 meV/atom. The density of states at the Fermi level comes out at 1.0087 states/eV per atom. The formation energy is 31 meV per atom.

```
5
Lattice="5.6234 0.0000 0.0000 0.0000 5.6234 0.0000 0.0000 0.0000 5.6234" Properties=species:S:1:pos:R:3 pbc="T T T"
Sr 0.0000 0.0000 2.8117
Sr 0.0000 2.8117 0.0000
Sr 2.8117 0.0000 0.0000
Ir 0.0000 0.0000 0.0000
Pt 2.8117 2.8117 2.8117
```

Entry 2:
Density functional theory data (PBE) for a geometry-optimized SrIr3Pt structure.

Values from the calculation:
Its total moment is 0.545 μB per atom. As for the energy above the most stable polymorph in this dataset: 1866 meV/atom. The density of states at the Fermi level comes out at 1.6568 states/eV per atom. The formation energy is 2954 meV per atom.

```
5
Lattice="4.8620 0.0000 0.0000 0.0000 4.8620 0.0000 0.0000 0.0000 4.8620" Properties=species:S:1:pos:R:3 pbc="T T T"
Sr 0.0000 0.0000 0.0000
Ir 0.0000 0.0000 2.4310
Ir 0.0000 2.4310 0.0000
Ir 2.4310 0.0000 0.0000
Pt 2.4310 2.4310 2.4310
```

Entry 3:
Density functional theory data (PBE) for a geometry-optimized SrIrPt3 structure.

Values from the calculation:
Its total moment is 0.324 μB per atom. As for the energy above the most stable polymorph in this dataset: 1968 meV/atom. The density of states at the Fermi level comes out at 2.6871 states/eV per atom. The formation energy is 2253 meV per atom.

```
5
Lattice="5.0447 0.0000 0.0000 0.0000 5.0447 0.0000 0.0000 0.0000 5.0447" Properties=species:S:1:pos:R:3 pbc="T T T"
Sr 0.0000 0.0000 0.0000
Ir 2.5224 2.5224 2.5224
Pt 0.0000 0.0000 2.5224
Pt 0.0000 2.5224 0.0000
Pt 2.5224 0.0000 0.0000
```